Version A
The following is a DFT calculation (GGA+U) of crystalline CoWO2 at its relaxed geometry.

abc: 4.750 4.750 5.854
angles: 66.07 66.07 90.00
Atoms (fractional coordinates):
O 0.623 0.125 0.250
Co 0.250 0.750 0.500
O 0.875 0.873 0.750
W 0.000 0.000 0.000
O 0.127 0.625 0.250
W 0.750 0.250 0.500
O 0.375 0.377 0.750
Co 0.500 0.500 0.000

Summary:
Magnetization, μB per atom: 0.847
Space-group type: No. 122

=====

Version B
The following is a DFT calculation (GGA+U) of crystalline CoWO2 at its relaxed geometry.

abc: 6.827 6.827 6.827
angles: 23.98 23.98 23.98
Atoms (fractional coordinates):
Co 0.000 0.000 0.000
W 0.500 0.500 0.500
O 0.905 0.905 0.905
O 0.095 0.095 0.095

Summary:
Magnetization, μB per atom: 0.557
Space-group type: No. 166

=====

Most stable structure, least stable structure: version B, version A.

=====

Version A
The following is a DFT calculation (GGA+U) of crystalline CoWO2 at its relaxed geometry.

abc: 6.334 6.334 6.334
angles: 27.69 27.69 27.69
Atoms (fractional coordinates):
Co 0.500 0.500 0.500
O 0.105 0.105 0.105
O 0.895 0.895 0.895
W 0.000 0.000 0.000

Summary:
Magnetization, μB per atom: 0.759
Space-group type: No. 166

=====

Version B
The following is a DFT calculation (GGA+U) of crystalline CoWO2 at its relaxed geometry.

abc: 3.790 3.790 3.790
angles: 60.00 60.00 60.00
Atoms (fractional coordinates):
O 0.250 0.250 0.250
O 0.750 0.750 0.750
W 0.500 0.500 0.500
Co 0.000 0.000 0.000

Summary:
Magnetization, μB per atom: 0.000
Space-group type: No. 225

=====

Most stable structure, least stable structure: version A, version B.